Crystalline Tm2Hg3Bi3 at its relaxed geometry, computed with GGA-PBE.

Values from the calculation:
Space-group type   No. 47
Formation enthalpy at 0 K   -2.50 eV per formula unit
Calculated density   12.07 g/cm³
Total moment   0.00 μB per cell
Crystal system   orthorhombic

abc: 4.5715 5.0793 9.2789
angles: 90.00 90.00 90.00
Closest atoms and distances in Å follow each position.
Fractional positions:
Tm (0.0000, 0.0000, 0.2413)  6 Bi 3.20-3.49, 6 Hg 3.39-3.42
Tm (0.0000, 0.0000, 0.7587)  6 Bi 3.20-3.49, 6 Hg 3.39-3.42
Hg (0.0000, 0.5000, 0.0000)  4 Hg 3.18, 4 Tm 3.39, 4 Bi 3.42
Hg (0.5000, 0.5000, 0.2376)  2 Hg 3.18, 6 Bi 3.34-3.52, 4 Tm 3.42
Hg (0.5000, 0.5000, 0.7624)  2 Hg 3.18, 6 Bi 3.34-3.52, 4 Tm 3.42
Bi (0.0000, 0.5000, 0.5000)  4 Hg 3.34, 4 Bi 3.42, 4 Tm 3.49
Bi (0.5000, 0.0000, 0.0000)  4 Tm 3.20, 8 Hg 3.36-3.42
Bi (0.5000, 0.0000, 0.5000)  4 Tm 3.31, 4 Bi 3.42, 4 Hg 3.52

---

Crystalline HfMnP2 at its relaxed geometry, computed with GGA-PBE.

Values from the calculation:
Space-group type   No. 166
E above lowest polymorph   0 meV per atom
Formation enthalpy at 0 K   -2.64 eV per formula unit
Calculated density   8.27 g/cm³
Total moment   0.89 μB per cell
Crystal system   trigonal

abc: 5.6148 5.6148 5.6148
angles: 37.68 37.68 37.68
Closest atoms and distances in Å follow each position.
Fractional positions:
Hf (0.0000, 0.0000, 0.0000)  6 P 2.61
Mn (0.5000, 0.5000, 0.5000)  6 P 2.34
P (0.2333, 0.2333, 0.2333)  3 Mn 2.34, 3 Hf 2.61
P (0.7667, 0.7667, 0.7667)  3 Mn 2.34, 3 Hf 2.61

---

Crystalline Re2Cl at its relaxed geometry, computed with GGA-PBE.

Values from the calculation:
Space-group type   No. 62
E above lowest polymorph   425 meV per atom
Formation energy without anion corrections   0.604 eV/atom
Calculated density   10.68 g/cm³
Total moment   0.00 μB per cell
Crystal system   orthorhombic

abc: 6.9424 3.6605 9.9842
angles: 90.00 90.00 90.00
Closest atoms and distances in Å follow each position.
Fractional positions:
Re (0.0133, 0.2500, 0.1728)  3 Re 2.39-2.50
Re (0.1389, 0.2500, 0.9380)  1 Cl 2.36, 3 Re 2.39-2.50
Re (0.3611, 0.7500, 0.4380)  1 Cl 2.36, 3 Re 2.39-2.50
Re (0.4867, 0.7500, 0.6728)  3 Re 2.39-2.50
Re (0.5133, 0.2500, 0.3272)  3 Re 2.39-2.50
Re (0.6389, 0.2500, 0.5620)  1 Cl 2.36, 3 Re 2.39-2.50
Re (0.8611, 0.7500, 0.0620)  1 Cl 2.36, 3 Re 2.39-2.50
Re (0.9867, 0.7500, 0.8272)  3 Re 2.39-2.50
Cl (0.0356, 0.7500, 0.3702)  1 Re 2.36
Cl (0.4644, 0.2500, 0.8702)  1 Re 2.36
Cl (0.5356, 0.7500, 0.1298)  1 Re 2.36
Cl (0.9644, 0.2500, 0.6298)  1 Re 2.36

---

Crystalline LaScS2 at its relaxed geometry, computed with GGA-PBE.

Values from the calculation:
Space-group type   No. 166
E above lowest polymorph   458 meV per atom
Formation energy without anion corrections   -1.534 eV/atom
Calculated density   3.89 g/cm³
Total moment   0.00 μB per cell
Crystal system   trigonal

abc: 8.6840 8.6840 8.6840
angles: 25.37 25.37 25.37
Closest atoms and distances in Å follow each position.
Fractional positions:
La (0.0000, 0.0000, 0.0000)  2 S 2.81
Sc (0.5000, 0.5000, 0.5000)  6 S 2.60
S (0.1115, 0.1115, 0.1115)  3 Sc 2.60, 1 La 2.81
S (0.8885, 0.8885, 0.8885)  3 Sc 2.60, 1 La 2.81

---

Crystalline ReTe3S at its relaxed geometry, computed with GGA-PBE.

Values from the calculation:
Space-group type   No. 221
E above lowest polymorph   727 meV per atom
Formation energy without anion corrections   1.574 eV/atom
Calculated density   7.90 g/cm³
Total moment   0.00 μB per cell
Crystal system   cubic

abc: 5.0177 5.0177 5.0177
angles: 90.00 90.00 90.00
Closest atoms and distances in Å follow each position.
Fractional positions:
Re (0.0000, 0.0000, 0.0000)  12 Te 3.55
Te (0.0000, 0.5000, 0.5000)  2 S 2.51
Te (0.5000, 0.0000, 0.5000)  2 S 2.51
Te (0.5000, 0.5000, 0.0000)  2 S 2.51
S (0.5000, 0.5000, 0.5000)  6 Te 2.51

---

Crystalline LaNbCoP2 at its relaxed geometry, computed with GGA-PBE.

Values from the calculation:
Space-group type   No. 119
E above lowest polymorph   0 meV per atom
Formation enthalpy at 0 K   -4.43 eV per formula unit
Calculated density   6.37 g/cm³
Total moment   1.19 μB per cell
Crystal system   tetragonal

abc: 6.7065 6.7065 6.7065
angles: 146.41 146.41 48.23
Closest atoms and distances in Å follow each position.
Fractional positions:
La (0.0000, 0.0000, 0.0000)  8 P 3.17
Nb (0.2500, 0.7500, 0.5000)  4 P 2.43
Co (0.7500, 0.2500, 0.5000)  4 P 2.43
P (0.3696, 0.3696, 0.0000)  2 Nb 2.43, 2 Co 2.43
P (0.6304, 0.6304, 0.0000)  2 Nb 2.43, 2 Co 2.43

---

Crystalline TbPuSiAg at its relaxed geometry, computed with GGA-PBE.

Values from the calculation:
Space-group type   No. 216
Formation energy without anion corrections   -0.267 eV/atom
Calculated density   9.67 g/cm³
Total moment   6.23 μB per cell
Crystal system   cubic

abc: 5.0779 5.0779 5.0779
angles: 60.00 60.00 60.00
Closest atoms and distances in Å follow each position.
Fractional positions:
Tb (0.0000, 0.0000, 0.0000)  4 Si 3.11, 4 Ag 3.11
Pu (0.5000, 0.5000, 0.5000)  4 Si 3.11, 4 Ag 3.11
Si (0.7500, 0.7500, 0.7500)  4 Tb 3.11, 4 Pu 3.11
Ag (0.2500, 0.2500, 0.2500)  4 Tb 3.11, 4 Pu 3.11

---

Crystalline CuTc at its relaxed geometry, computed with GGA-PBE.

Values from the calculation:
Space-group type   No. 67
E above lowest polymorph   144 meV per atom
Formation enthalpy at 0 K   0.47 eV per formula unit
Calculated density   9.80 g/cm³
Total moment   0.00 μB per cell
Crystal system   orthorhombic

abc: 2.6062 2.6062 8.5767
angles: 90.00 90.00 109.98
Closest atoms and distances in Å follow each position.
Fractional positions:
Cu (0.2500, 0.7500, 0.8831)  6 Cu 2.50-2.61, 2 Tc 2.66
Cu (0.7500, 0.2500, 0.1169)  6 Cu 2.50-2.61, 2 Tc 2.66
Tc (0.2500, 0.7500, 0.3729)  6 Tc 2.61-2.64, 2 Cu 2.66
Tc (0.7500, 0.2500, 0.6271)  6 Tc 2.61-2.64, 2 Cu 2.66

---

Crystalline Co2PPt at its relaxed geometry, computed with GGA-PBE.

Values from the calculation:
Space-group type   No. 123
Formation enthalpy at 0 K   -0.84 eV per formula unit
Calculated density   12.03 g/cm³
Total moment   0.95 μB per cell
Crystal system   tetragonal

abc: 2.7265 2.7265 6.3845
angles: 90.00 90.00 90.00
Closest atoms and distances in Å follow each position.
Fractional positions:
Co (0.0000, 0.0000, 0.1985)  4 P 2.31, 1 Co 2.53
Co (0.0000, 0.0000, 0.8015)  4 P 2.31, 1 Co 2.53
P (0.5000, 0.5000, 0.0000)  8 Co 2.31
Pt (0.5000, 0.5000, 0.5000)  8 Co 2.72, 4 Pt 2.73

---

Crystalline VHS2 at its relaxed geometry, computed with GGA-PBE.

Values from the calculation:
Space-group type   No. 11
E above lowest polymorph   0 meV per atom
Calculated density   3.16 g/cm³
Total moment   0.00 μB per cell
Crystal system   monoclinic

abc: 5.8420 3.2696 6.6044
angles: 90.00 104.68 90.00
Closest atoms and distances in Å follow each position.
Fractional positions:
V (0.1926, 0.2500, 0.0121)  6 S 2.30-2.52
V (0.8074, 0.7500, 0.9879)  6 S 2.30-2.52
H (0.2735, 0.7500, 0.6086)  1 S 1.38
H (0.7265, 0.2500, 0.3914)  1 S 1.38
S (0.1500, 0.7500, 0.2514)  1 H 2.29, 3 V 2.30-2.33
S (0.3689, 0.7500, 0.8227)  1 H 1.38
S (0.6311, 0.2500, 0.1773)  1 H 1.38
S (0.8500, 0.2500, 0.7486)  1 H 2.29, 3 V 2.30-2.33

---

Crystalline Ho3SbOs at its relaxed geometry, computed with GGA-PBE.

Values from the calculation:
Space-group type   No. 12
Formation energy without anion corrections   -0.522 eV/atom
Calculated density   10.00 g/cm³
Total moment   0.00 μB per cell
Crystal system   monoclinic

abc: 7.8438 7.8438 8.6616
angles: 120.56 120.56 36.52
Closest atoms and distances in Å follow each position.
Fractional positions:
Ho (0.0718, 0.0718, 0.2195)  2 Os 2.89-3.00, 2 Sb 3.15, 1 Ho 3.21
Ho (0.2487, 0.2487, 0.7625)  3 Os 2.92-3.00, 2 Sb 3.18, 1 Ho 3.22
Ho (0.4023, 0.4023, 0.2009)  3 Os 2.88-2.97, 2 Sb 3.12-3.13, 1 Ho 3.22
Ho (0.5977, 0.5977, 0.7991)  3 Os 2.88-2.97, 2 Sb 3.12-3.13, 1 Ho 3.22
Ho (0.7513, 0.7513, 0.2374)  3 Os 2.92-3.00, 2 Sb 3.18, 1 Ho 3.22
Ho (0.9282, 0.9282, 0.7805)  2 Os 2.89-3.00, 2 Sb 3.15, 1 Ho 3.21
Sb (0.3537, 0.3537, 0.5108)  7 Ho 3.12-3.29
Sb (0.6463, 0.6463, 0.4892)  7 Ho 3.12-3.29
Os (0.1668, 0.1668, 0.0030)  8 Ho 2.88-3.00
Os (0.8332, 0.8332, 0.9970)  8 Ho 2.88-3.00

---

Crystalline Sm4SI5 at its relaxed geometry, computed with GGA-PBE.

Values from the calculation:
Space-group type   No. 12
Formation energy without anion corrections   -1.402 eV/atom
Calculated density   6.11 g/cm³
Total moment   0.00 μB per cell
Crystal system   monoclinic

abc: 9.8012 9.8012 8.8754
angles: 102.88 102.88 24.51
Closest atoms and distances in Å follow each position.
Fractional positions:
Sm (0.0017, 0.0017, 0.2960)  2 S 2.76
Sm (0.3571, 0.3571, 0.4334)  1 S 2.67
Sm (0.6429, 0.6429, 0.5666)  1 S 2.67
Sm (0.9983, 0.9983, 0.7040)  2 S 2.76
S (0.5000, 0.5000, 0.5000)  6 Sm 2.67-2.76
I (0.1645, 0.1645, 0.8377)  3 Sm 3.13-3.14
I (0.1725, 0.1725, 0.3180)  4 Sm 3.18-3.45
I (0.5000, 0.5000, 0.0000)  4 Sm 3.35
I (0.8275, 0.8275, 0.6820)  4 Sm 3.18-3.45
I (0.8355, 0.8355, 0.1623)  3 Sm 3.13-3.14

---

Crystalline Li2CrTc at its relaxed geometry, computed with GGA-PBE.

Values from the calculation:
Space-group type   No. 35
E above lowest polymorph   0 meV per atom
Formation enthalpy at 0 K   0.95 eV per formula unit
Calculated density   4.70 g/cm³
Total moment   0.00 μB per cell
Crystal system   orthorhombic

abc: 2.6031 2.6031 9.1760
angles: 90.00 90.00 111.41
Closest atoms and distances in Å follow each position.
Fractional positions:
Li (0.0000, 0.0000, 0.0000)  4 Li 2.60, 2 Tc 2.74
Li (0.5000, 0.5000, 0.2836)  4 Li 2.60, 2 Cr 2.70
Cr (0.0000, 0.0000, 0.5310)  2 Tc 2.47, 4 Cr 2.60, 2 Li 2.70
Tc (0.5000, 0.5000, 0.7482)  2 Cr 2.47, 4 Tc 2.60, 2 Li 2.74

---

Crystalline PuPaPd at its relaxed geometry, computed with GGA-PBE.

Values from the calculation:
Space-group type   No. 107
E above lowest polymorph   53 meV per atom
Formation enthalpy at 0 K   -0.86 eV per formula unit
Calculated density   14.91 g/cm³
Total moment   6.30 μB per cell
Crystal system   tetragonal

abc: 5.6252 5.6252 5.6252
angles: 142.76 142.76 53.69
Closest atoms and distances in Å follow each position.
Fractional positions:
Pu (0.0000, 0.0000, 0.0000)  5 Pa 3.03-3.36, 5 Pd 3.11-3.23
Pa (0.3347, 0.3347, 0.0000)  4 Pd 2.99, 4 Pu 3.03
Pd (0.6780, 0.6780, 0.0000)  4 Pa 2.99, 5 Pu 3.11-3.23

---

Crystalline BaMo2Se at its relaxed geometry, computed with GGA-PBE.

Values from the calculation:
Space-group type   No. 44
Formation energy without anion corrections   0.527 eV/atom
Calculated density   6.75 g/cm³
Total moment   0.00 μB per cell
Crystal system   orthorhombic

abc: 5.9738 5.9738 5.9738
angles: 146.94 118.73 71.41
Closest atoms and distances in Å follow each position.
Fractional positions:
Ba (0.0000, 0.0000, 0.0000)  4 Se 3.31-3.65, 2 Ba 3.40, 8 Mo 3.49-3.52
Mo (0.3170, 0.8170, 0.5000)  2 Mo 2.40
Mo (0.4922, 0.4922, 0.0000)  2 Mo 2.40, 2 Se 2.69
Se (0.7073, 0.2073, 0.5000)  2 Mo 2.69

---

Crystalline La2NdSn3Rh4 at its relaxed geometry, computed with GGA-PBE.

Values from the calculation:
Space-group type   No. 115
Formation enthalpy at 0 K   -7.48 eV per formula unit
Calculated density   8.51 g/cm³
Total moment   0.00 μB per cell
Crystal system   tetragonal

abc: 4.4847 4.4847 11.5378
angles: 90.00 90.00 90.00
Closest atoms and distances in Å follow each position.
Fractional positions:
La (0.0000, 0.5000, 0.2309)  4 Sn 3.41, 8 Rh 3.45-3.48
La (0.5000, 0.0000, 0.7691)  4 Sn 3.41, 8 Rh 3.45-3.48
Nd (0.0000, 0.0000, 0.5000)  4 Rh 2.84, 4 Sn 3.17
Sn (0.0000, 0.5000, 0.8771)  5 Rh 2.61-2.65
Sn (0.5000, 0.0000, 0.1229)  5 Rh 2.61-2.65
Sn (0.5000, 0.5000, 0.5000)  4 Rh 2.84, 4 Nd 3.17
Rh (0.0000, 0.0000, 0.0000)  4 Sn 2.65
Rh (0.0000, 0.5000, 0.6505)  3 Sn 2.61-2.84, 2 Nd 2.84
Rh (0.5000, 0.0000, 0.3495)  3 Sn 2.61-2.84, 2 Nd 2.84
Rh (0.5000, 0.5000, 0.0000)  4 Sn 2.65

---

Crystalline PrDyCrN3 at its relaxed geometry, computed with GGA-PBE.

Values from the calculation:
Space-group type   No. 11
Formation energy without anion corrections   -1.082 eV/atom
Calculated density   7.05 g/cm³
Total moment   0.00 μB per cell
Crystal system   monoclinic

abc: 7.3588 3.4394 7.5007
angles: 90.00 99.33 90.00
Closest atoms and distances in Å follow each position.
Fractional positions:
Pr (0.1851, 0.2500, 0.1815)  3 N 2.47
Pr (0.8149, 0.7500, 0.8185)  3 N 2.47
Dy (0.1691, 0.2500, 0.6343)  6 N 2.31-2.56
Dy (0.8309, 0.7500, 0.3657)  6 N 2.31-2.56
Cr (0.4024, 0.7500, 0.9178)  4 N 1.80-1.94
Cr (0.5976, 0.2500, 0.0822)  4 N 1.80-1.94
N (0.1486, 0.7500, 0.4086)  3 Dy 2.31-2.40, 2 Pr 2.47
N (0.1549, 0.7500, 0.8753)  1 Cr 1.80
N (0.4821, 0.2500, 0.8398)  3 Cr 1.88-1.94
N (0.5179, 0.7500, 0.1602)  3 Cr 1.88-1.94
N (0.8451, 0.2500, 0.1247)  1 Cr 1.80
N (0.8514, 0.2500, 0.5914)  3 Dy 2.31-2.40, 2 Pr 2.47

---

Crystalline Er3Tl at its relaxed geometry, computed with GGA-PBE.

Values from the calculation:
Space-group type   No. 25
Formation enthalpy at 0 K   -0.35 eV per formula unit
Calculated density   10.21 g/cm³
Total moment   0.00 μB per cell
Crystal system   orthorhombic

abc: 3.4798 5.4649 6.0396
angles: 90.00 90.00 90.00
Closest atoms and distances in Å follow each position.
Fractional positions:
Er (0.0000, 0.0000, 0.0000)  8 Er 3.40-3.50, 4 Tl 3.42
Er (0.0000, 0.5000, 0.3353)  4 Tl 3.39-3.58, 8 Er 3.39-3.48
Er (0.5000, 0.0000, 0.5033)  2 Tl 3.33, 10 Er 3.39-3.50
Tl (0.5000, 0.5000, 0.8173)  10 Er 3.33-3.58, 2 Tl 3.48

---

Crystalline Pr2HoEr2Sc2 at its relaxed geometry, computed with GGA-PBE.

Values from the calculation:
Space-group type   No. 12
Formation enthalpy at 0 K   1.18 eV per formula unit
Calculated density   6.62 g/cm³
Total moment   0.00 μB per cell
Crystal system   monoclinic

abc: 8.8167 8.8167 8.3430
angles: 116.66 116.66 22.27
Closest atoms and distances in Å follow each position.
Fractional positions:
Pr (0.1484, 0.1484, 0.3852)  4 Pr 3.40-3.57, 3 Sc 3.44-3.59, 2 Er 3.48-3.60, 2 Ho 3.56
Pr (0.8516, 0.8516, 0.6148)  4 Pr 3.40-3.57, 3 Sc 3.44-3.59, 2 Er 3.48-3.60, 2 Ho 3.56
Ho (0.5000, 0.5000, 0.5000)  2 Sc 3.38, 2 Ho 3.40, 4 Er 3.47, 4 Pr 3.56
Er (0.0735, 0.0735, 0.9055)  3 Sc 3.34-3.37, 3 Er 3.40-3.55, 2 Ho 3.47, 2 Pr 3.48-3.60
Er (0.9265, 0.9265, 0.0945)  3 Sc 3.34-3.37, 3 Er 3.40-3.55, 2 Ho 3.47, 2 Pr 3.48-3.60
Sc (0.2876, 0.2876, 0.1939)  3 Er 3.34-3.37, 4 Sc 3.35-3.40, 1 Ho 3.38, 3 Pr 3.44-3.59
Sc (0.7124, 0.7124, 0.8061)  3 Er 3.34-3.37, 4 Sc 3.35-3.40, 1 Ho 3.38, 3 Pr 3.44-3.59

---

Crystalline Na2CdTcO at its relaxed geometry, computed with GGA-PBE.

Values from the calculation:
Space-group type   No. 123
Formation energy without anion corrections   1.210 eV/atom
Calculated density   2.87 g/cm³
Total moment   3.44 μB per cell
Crystal system   tetragonal

abc: 5.5217 5.5217 5.1606
angles: 90.00 90.00 90.00
Closest atoms and distances in Å follow each position.
Fractional positions:
Na (0.0000, 0.5000, 0.0000)  2 Cd 2.76
Na (0.5000, 0.0000, 0.0000)  2 Cd 2.76
Cd (0.0000, 0.0000, 0.0000)  2 Tc 2.58, 4 Na 2.76
Tc (0.0000, 0.0000, 0.5000)  2 Cd 2.58
O (0.5000, 0.5000, 0.5000)  8 Na 3.78, 4 Tc 3.90